RbRh: optimized geometry, PBE.

Output
**Total energy**: -42.464 eV for the cell shown
**Formation energy from the elements**: 0.62 eV/atom

a b c (Å): 3.609 5.826 17.371
angles (deg): 90.00 90.00 90.00
Space group Immm (No. 71)
Asymmetric unit:
Rb  0.000  0.000  0.000 x2
Rb  0.000  0.500  0.315 x4
Rh  0.000  0.000  0.500 x2
Rh  0.000  0.500  0.100 x4